The following is a DFT calculation (PBE) of crystalline BaAc5Te6 at its relaxed geometry.

## Properties
D(E_F): 7.03 states/eV per cell
symmetry: C2/m, No. 12
ΔE_f (raw): -1.533 eV per atom

a b c (Å): 8.247 8.247 8.271
angles (deg): 99.56 99.56 120.03
Sites, in units of the cell vectors:
Ba 0.000 0.000 0.000
Ac 0.163 0.837 0.500
Ac 0.333 0.667 0.000
Ac 0.500 0.500 0.500
Ac 0.667 0.333 0.000
Ac 0.837 0.163 0.500
Te 0.085 0.425 0.255
Te 0.256 0.256 0.751
Te 0.425 0.085 0.255
Te 0.575 0.915 0.745
Te 0.744 0.744 0.249
Te 0.915 0.575 0.745